Entry 1:
A geometry-optimized Te2MoP structure, computed with GGA-PBEsol.

The value obtained for the total energy is -5.808 eV/atom. As for the density of states at the Fermi level: 2.81 states/eV/cell. The crystal system is tetragonal.

Cell lengths 3.327, 3.327, 6.917 Å; angles 90.00, 90.00, 90.00 degrees
Sites, in units of the cell vectors:
Te 0.000 0.000 0.235
Te 0.000 0.000 0.765
Mo 0.500 0.500 0.000
P 0.500 0.500 0.500



Entry 2:
A geometry-optimized HfTe2MoI structure, computed with GGA-PBEsol.

The value obtained for the total energy is -5.369 eV/atom. As for the density of states at the Fermi level: 7.19 states/eV/cell. The crystal system is tetragonal.

Cell lengths 5.212, 5.212, 5.249 Å; angles 90.00, 90.00, 90.00 degrees
Sites, in units of the cell vectors:
Hf 0.000 0.000 0.000
Te 0.000 0.500 0.500
Te 0.500 0.000 0.500
Mo 0.500 0.500 0.500
I 0.500 0.500 0.000



Entry 3:
A geometry-optimized Rb2NaTbCl6 structure, computed with GGA-PBEsol.

The value obtained for the total energy is -4.131 eV/atom. As for the density of states at the Fermi level: 0.00 states/eV/cell. The crystal system is cubic.

Cell lengths 7.489, 7.489, 7.489 Å; angles 60.00, 60.00, 60.00 degrees
Sites, in units of the cell vectors:
Rb 0.250 0.250 0.250
Rb 0.750 0.750 0.750
Na 0.000 0.000 0.000
Tb 0.500 0.500 0.500
Cl 0.254 0.254 0.746
Cl 0.254 0.746 0.254
Cl 0.254 0.746 0.746
Cl 0.746 0.254 0.254
Cl 0.746 0.254 0.746
Cl 0.746 0.746 0.254



Entry 4:
A geometry-optimized Sb2AuS2 structure, computed with GGA-PBEsol.

The value obtained for the total energy is -4.381 eV/atom. As for the density of states at the Fermi level: 2.90 states/eV/cell. The crystal system is tetragonal.

Cell lengths 7.808, 7.808, 3.728 Å; angles 90.00, 90.00, 90.00 degrees
Sites, in units of the cell vectors:
Sb 0.204 0.296 0.000
Sb 0.296 0.796 0.000
Sb 0.704 0.204 0.000
Sb 0.796 0.704 0.000
Au 0.000 0.000 0.000
Au 0.500 0.500 0.000
S 0.140 0.640 0.500
S 0.360 0.140 0.500
S 0.640 0.860 0.500
S 0.860 0.360 0.500



Entry 5:
A geometry-optimized GaSbMo3 structure, computed with GGA-PBEsol.

As for the density of states at the Fermi level: 6.22 states/eV/cell. The crystal system is cubic. Its excess energy over the best structure of this formula in the dataset is 664 meV/atom.

Cell lengths 4.828, 4.828, 4.828 Å; angles 90.00, 90.00, 90.00 degrees
Sites, in units of the cell vectors:
Ga 0.000 0.000 0.000
Sb 0.500 0.500 0.500
Mo 0.000 0.500 0.500
Mo 0.500 0.000 0.500
Mo 0.500 0.500 0.000



Entry 6:
A geometry-optimized BaCd2SbRu structure, computed with GGA-PBEsol.

The value obtained for the total energy is -3.442 eV/atom. As for the density of states at the Fermi level: 4.88 states/eV/cell. The crystal system is tetragonal.

Cell lengths 5.174, 5.174, 5.367 Å; angles 90.00, 90.00, 90.00 degrees
Sites, in units of the cell vectors:
Ba 0.000 0.000 0.000
Cd 0.000 0.500 0.500
Cd 0.500 0.000 0.500
Sb 0.500 0.500 0.000
Ru 0.000 0.000 0.500